A relaxed structure of TiV5P6O24. Source: the Alexandria database, functional GGA+U.

a b c (Å): 8.598 8.598 8.598
angles (deg): 60.29 60.29 60.29
Positions (direct):
O 0.938 0.740 0.087
O 0.446 0.589 0.239
O 0.817 0.994 0.617
O 0.261 0.912 0.060
O 0.311 0.115 0.508
O 0.239 0.446 0.589
O 0.760 0.560 0.411
O 0.087 0.938 0.740
O 0.994 0.617 0.817
O 0.508 0.311 0.115
O 0.186 0.997 0.386
O 0.411 0.760 0.560
O 0.997 0.386 0.186
O 0.740 0.087 0.938
O 0.887 0.495 0.685
O 0.560 0.411 0.760
O 0.685 0.887 0.495
O 0.495 0.685 0.887
O 0.589 0.239 0.446
O 0.060 0.261 0.912
O 0.115 0.508 0.311
O 0.386 0.186 0.997
O 0.617 0.817 0.994
O 0.912 0.060 0.261
V 0.501 0.501 0.501
V 0.144 0.144 0.144
V 0.357 0.357 0.357
V 0.643 0.643 0.643
V 0.999 0.999 0.999
P 0.543 0.250 0.958
P 0.043 0.456 0.750
P 0.750 0.043 0.456
P 0.456 0.750 0.043
P 0.958 0.543 0.250
P 0.250 0.958 0.543
Ti 0.855 0.855 0.855

Computed properties:
Its crystal system is trigonal. Its symmetry is R3. The total energy comes out at -7.6950 eV/atom.